Record 1
The following is a DFT calculation (PBE-GGA) of an optimized crystal structure of Al4CuTc.

Results
space-group type = No. 123
total energy = -59.927 eV per cell
energy of formation = -0.09 eV/atom

Unit cell a=5.881 b=5.881 c=5.923 alpha=90.00 beta=90.01 gamma=90.00
Positions (direct):
Al1 0.750 0.750 0.749
Cu1 0.000 0.000 0.000
Al2 0.750 0.750 0.251
Tc1 0.000 0.500 0.500
Al3 0.750 0.250 0.749
Tc2 0.500 0.000 0.500
Al4 0.250 0.750 0.251
Al5 0.250 0.250 0.749
Al6 0.750 0.250 0.251
Al7 0.250 0.250 0.251
Cu2 0.500 0.500 0.000
Al8 0.250 0.750 0.749

Record 2
The following is a DFT calculation (PBE-GGA) of an optimized crystal structure of AlCuTc.

Results
space-group type = No. 139
total energy = -36.405 eV per cell
energy of formation = 0.00 eV/atom

Unit cell a=2.785 b=2.785 c=11.165 alpha=97.16 beta=97.16 gamma=90.00
Positions (direct):
Al1 0.136 0.136 0.272
Tc1 0.448 0.448 0.897
Cu1 0.712 0.712 0.425
Cu2 0.288 0.288 0.575
Tc2 0.552 0.552 0.103
Al2 0.864 0.864 0.728

Record 3
The following is a DFT calculation (PBE-GGA) of an optimized crystal structure of Al8Cu5Tc.

Results
space-group type = No. 82
total energy = -62.151 eV per cell
energy of formation = -0.10 eV/atom

Unit cell a=6.554 b=6.554 c=6.554 alpha=104.65 beta=119.61 gamma=104.65
Positions (direct):
Al1 0.559 0.925 0.937
Al2 0.571 0.326 0.913
Cu1 0.943 0.227 0.987
Cu2 0.500 0.000 0.500
Cu3 0.284 0.044 0.057
Al3 0.755 0.342 0.429
Al4 0.366 0.378 0.441
Al5 0.012 0.075 0.634
Tc1 0.250 0.500 0.750
Al6 0.063 0.622 0.988
Cu4 0.761 0.773 0.716
Al7 0.087 0.658 0.413
Al8 0.587 0.674 0.245
Cu5 0.013 0.956 0.239

Record 4
The following is a DFT calculation (PBE-GGA) of an optimized crystal structure of Al2CuTc.

Results
space-group type = No. 160
total energy = -21.992 eV per cell
energy of formation = -0.01 eV/atom

Unit cell a=8.641 b=8.641 c=8.641 alpha=18.72 beta=18.72 gamma=18.72
Positions (direct):
Cu1 0.501 0.501 0.501
Tc1 0.750 0.750 0.750
Al1 0.002 0.002 0.002
Al2 0.246 0.246 0.246

Record 5
The following is a DFT calculation (PBE-GGA) of an optimized crystal structure of Al2CuTc.

Results
space-group type = No. 99
total energy = -21.888 eV per cell
energy of formation = 0.01 eV/atom

Unit cell a=2.712 b=2.712 c=7.833 alpha=90.00 beta=90.00 gamma=89.98
Positions (direct):
Cu1 0.000 0.000 0.497
Al1 0.500 0.500 0.271
Al2 0.000 0.000 0.990
Tc1 0.500 0.500 0.743

Record 6
The following is a DFT calculation (PBE-GGA) of an optimized crystal structure of Al2CuTc2.

Results
space-group type = No. 127
total energy = -64.593 eV per cell
energy of formation = 0.00 eV/atom

Unit cell a=6.667 b=6.667 c=3.406 alpha=90.00 beta=90.00 gamma=90.00
Positions (direct):
Cu1 0.500 0.500 0.000
Cu2 0.000 0.000 0.000
Al1 0.333 0.167 0.500
Al2 0.167 0.667 0.500
Tc1 0.133 0.367 0.000
Al3 0.833 0.333 0.500
Tc2 0.367 0.867 0.000
Tc3 0.633 0.133 0.000
Al4 0.667 0.833 0.500
Tc4 0.867 0.633 0.000

Record 7
The following is a DFT calculation (PBE-GGA) of an optimized crystal structure of AlCu3Tc.

Results
space-group type = No. 221
total energy = -19.540 eV per cell
energy of formation = 1.37 eV/atom

Unit cell a=4.656 b=4.656 c=4.656 alpha=90.00 beta=90.00 gamma=90.00
Positions (direct):
Cu1 0.000 0.000 0.500
Cu2 0.500 0.000 0.000
Al1 0.500 0.500 0.500
Tc1 0.000 0.000 0.000
Cu3 0.000 0.500 0.000

Record 8
The following is a DFT calculation (PBE-GGA) of an optimized crystal structure of Al2CuTc.

Results
space-group type = No. 166
total energy = -22.476 eV per cell
energy of formation = -0.13 eV/atom

Unit cell a=8.503 b=8.503 c=8.503 alpha=19.11 beta=19.11 gamma=19.11
Positions (direct):
Tc1 0.750 0.750 0.750
Al1 0.500 0.500 0.500
Cu1 0.250 0.250 0.250
Al2 0.000 0.000 0.000